No. 1
{
  "formula": "DyTm2Sc7",
  "functional": "PBE",
  "state": "relaxed",
  "lattice": [[3.724, -8.547, 0.000], [3.724, 8.547, 0.000], [0.000, 0.000, 4.977]],
  "species": ["Dy", "Tm", "Tm", "Sc", "Sc", "Sc", "Sc", "Sc", "Sc", "Sc"],
  "fractional_positions": [[0.000, 0.000, 0.000], [0.264, 0.736, 0.500], [0.736, 0.264, 0.500], [0.100, 0.293, 0.500], [0.293, 0.100, 0.500], [0.408, 0.592, 0.000], [0.500, 0.500, 0.500], [0.592, 0.408, 0.000], [0.707, 0.900, 0.500], [0.900, 0.707, 0.500]],
  "rho_kg_m3": 4271,
  "formation_energy_ev_per_atom": 0.6173
}

=====

No. 2
{
  "formula": "Dy3Tm6Sc",
  "functional": "PBE",
  "state": "relaxed",
  "lattice": [[11.004, 0.000, 0.000], [0.000, 4.926, 0.000], [-0.007, 0.000, 11.014]],
  "species": ["Dy", "Dy", "Dy", "Dy", "Dy", "Dy", "Tm", "Tm", "Tm", "Tm", "Tm", "Tm", "Tm", "Tm", "Tm", "Tm", "Tm", "Tm", "Sc", "Sc"],
  "fractional_positions": [[0.050, 0.250, 0.400], [0.151, 0.750, 0.201], [0.251, 0.250, 0.001], [0.749, 0.750, 0.999], [0.849, 0.250, 0.799], [0.950, 0.750, 0.600], [0.051, 0.750, 0.899], [0.155, 0.250, 0.698], [0.257, 0.750, 0.501], [0.352, 0.750, 0.798], [0.355, 0.250, 0.305], [0.451, 0.750, 0.103], [0.549, 0.250, 0.897], [0.645, 0.750, 0.695], [0.648, 0.250, 0.202], [0.743, 0.250, 0.499], [0.845, 0.750, 0.302], [0.949, 0.250, 0.101], [0.451, 0.250, 0.598], [0.549, 0.750, 0.402]],
  "rho_kg_m3": 8601,
  "formation_energy_ev_per_atom": 0.0338
}

=====

No. 3
{
  "formula": "DyTm10Sc2",
  "functional": "PBE",
  "state": "relaxed",
  "lattice": [[0.000, 7.527, 8.437], [3.188, 0.000, 8.437], [3.188, 7.527, 0.000]],
  "species": ["Dy", "Tm", "Tm", "Tm", "Tm", "Tm", "Tm", "Tm", "Tm", "Tm", "Tm", "Sc", "Sc"],
  "fractional_positions": [[0.000, 0.000, 0.000], [0.000, 0.500, 0.000], [0.019, 0.658, 0.342], [0.296, 0.506, 0.494], [0.342, 0.981, 0.019], [0.494, 0.704, 0.296], [0.500, 0.000, 0.500], [0.506, 0.296, 0.704], [0.658, 0.019, 0.981], [0.704, 0.494, 0.506], [0.981, 0.342, 0.658], [0.000, 0.000, 0.500], [0.500, 0.500, 0.000]],
  "rho_kg_m3": 7963,
  "formation_energy_ev_per_atom": 0.2583
}

=====

Number 1: energy -51.7 eV per cell, Fermi-level density of states 13.36 states/eV per cell. Number 2: energy -93.3 eV per cell, Fermi-level density of states 28.33 states/eV per cell. Number 3: energy -58.6 eV per cell, Fermi-level density of states 26.64 states/eV per cell.